The following is a DFT calculation (PBE) of crystalline Dy8Zn2Au at its relaxed geometry.

Geometry as POSCAR:
```
Dy8Zn2Au
1.0
5.072 0.000 0.000
0.000 6.864 0.232
-2.536 -2.663 8.479
Dy Zn Au
8 2 1
Cartesian
0.000 1.558 7.049 Dy
2.536 5.785 3.029 Dy
2.536 3.061 5.219 Dy
2.536 -0.960 8.073 Dy
0.000 1.140 3.492 Dy
0.000 -1.583 5.682 Dy
2.536 2.643 1.662 Dy
0.000 5.161 0.638 Dy
2.536 0.213 5.382 Zn
0.000 3.989 3.329 Zn
2.536 0.000 0.000 Au
```

Values from the calculation:
* VASP energy: -4.11 eV per atom
* total magnetic moment: 0.0 μB/f.u.
* crystal system: monoclinic
* space group: No. 12

The following is a DFT calculation (PBE) of crystalline Dy2Zn12Au7 at its relaxed geometry.

Geometry as POSCAR:
```
Dy2Zn12Au7
1.0
-0.414 -3.862 -1.225
10.101 -0.186 -2.826
-2.778 -2.787 9.725
Dy Zn Au
2 12 7
Cartesian
1.412 -2.879 5.237 Dy
5.497 -3.955 0.437 Dy
5.932 -1.186 -1.645 Zn
3.161 -2.136 2.287 Zn
8.023 -2.729 2.513 Zn
0.978 -5.648 7.319 Zn
3.749 -4.698 3.387 Zn
-1.113 -4.105 3.161 Zn
0.271 -1.694 1.966 Zn
-1.008 -3.447 7.925 Zn
4.982 -3.428 5.842 Zn
6.639 -5.140 3.708 Zn
7.918 -3.387 -2.251 Zn
1.928 -3.406 -0.168 Zn
-0.207 -1.931 -0.612 Au
7.801 -1.919 0.019 Au
3.782 -1.436 -0.147 Au
5.530 -2.710 3.279 Au
-0.891 -4.915 5.656 Au
3.128 -5.398 5.821 Au
1.380 -4.124 2.395 Au
```

Values from the calculation:
* VASP energy: -2.59 eV per atom
* total magnetic moment: 0.0 μB/f.u.
* crystal system: trigonal
* space group: No. 147

| no. | ΔH_f (0 K) (eV/atom) |
| --- | --- |
| 1 | -0.237 |
| 2 | -0.329 |